Computed, not measured: TiCo2Sb after structural relaxation at the PBE level of DFT.

Unit cell a=4.030 b=4.030 c=3.506 alpha=90.00 beta=90.00 gamma=90.00
Space group P4/mmm (No. 123)
Unique sites:
Ti  0.000  0.000  0.000 [1 per cell]
Co  0.000  0.500  0.500 [2 per cell]
Sb  0.500  0.500  0.000 [1 per cell]

Formation energy without anion corrections (eV per atom): -0.22
Crystal system: tetragonal


Computed, not measured: TiCoSb3 after structural relaxation at the PBE level of DFT.

Unit cell a=5.204 b=5.204 c=5.204 alpha=90.00 beta=90.00 gamma=90.00
Space group Pm-3m (No. 221)
Unique sites:
Ti  0.000  0.000  0.000 [1 per cell]
Co  0.500  0.500  0.500 [1 per cell]
Sb  0.000  0.000  0.500 [3 per cell]

Formation energy without anion corrections (eV per atom): 0.76
Crystal system: cubic
Relative energy among the computed polymorphs (meV per atom): 218


Computed, not measured: TiCo4Sb after structural relaxation at the PBE level of DFT.

Unit cell a=6.822 b=6.822 c=6.822 alpha=90.00 beta=90.00 gamma=90.00
Space group F-43m (No. 216)
Unique sites:
Ti  0.000  0.000  0.000 [4 per cell]
Co  0.125  0.125  0.375 [16 per cell]
Sb  0.250  0.250  0.750 [4 per cell]

Formation energy without anion corrections (eV per atom): -0.10
Crystal system: cubic


Computed, not measured: TiCo2Sb after structural relaxation at the PBE level of DFT.

Unit cell a=3.975 b=3.975 c=16.367 alpha=90.00 beta=90.00 gamma=90.00
Space group I-42d (No. 122)
Unique sites:
Ti  0.000  0.000  0.000 [4 per cell]
Co  0.229  0.250  0.125 [8 per cell]
Sb  0.000  0.000  0.500 [4 per cell]

Formation energy without anion corrections (eV per atom): 0.20
Crystal system: tetragonal


Computed, not measured: TlCo4Sb12 after structural relaxation at the PBE level of DFT.

Unit cell a=9.201 b=9.201 c=9.201 alpha=90.00 beta=90.00 gamma=90.00
Space group Im-3 (No. 204)
Unique sites:
Tl  0.000  0.000  0.000 [2 per cell]
Co  0.250  0.250  0.250 [8 per cell]
Sb  0.000  0.336  0.161 [24 per cell]

Formation energy without anion corrections (eV per atom): -0.15
Crystal system: cubic


Computed, not measured: Tl2CoSb after structural relaxation at the PBE level of DFT.

Unit cell a=3.171 b=4.119 c=15.488 alpha=90.00 beta=90.00 gamma=90.00
Space group Immm (No. 71)
Unique sites:
Tl  0.000  0.000  0.171 [4 per cell]
Co  0.000  0.500  0.500 [2 per cell]
Sb  0.000  0.500  0.000 [2 per cell]

Formation energy without anion corrections (eV per atom): 0.21
Crystal system: orthorhombic
Relative energy among the computed polymorphs (meV per atom): 60


Computed, not measured: Tl2CoSb after structural relaxation at the PBE level of DFT.

Unit cell a=4.291 b=4.291 c=10.617 alpha=90.00 beta=90.00 gamma=90.00
Space group I4/mmm (No. 139)
Unique sites:
Tl  0.000  0.500  0.250 [4 per cell]
Co  0.000  0.000  0.000 [2 per cell]
Sb  0.000  0.000  0.500 [2 per cell]

Formation energy without anion corrections (eV per atom): 0.58
Crystal system: tetragonal
Relative energy among the computed polymorphs (meV per atom): 426


Computed, not measured: TlCo3Sb after structural relaxation at the PBE level of DFT.

Unit cell a=4.760 b=4.760 c=4.760 alpha=90.00 beta=90.00 gamma=90.00
Space group Pm-3m (No. 221)
Unique sites:
Tl  0.000  0.000  0.000 [1 per cell]
Co  0.000  0.500  0.500 [3 per cell]
Sb  0.500  0.500  0.500 [1 per cell]

Formation energy without anion corrections (eV per atom): 1.02
Crystal system: cubic
Relative energy among the computed polymorphs (meV per atom): 0


Computed, not measured: TlCo3Sb after structural relaxation at the PBE level of DFT.

Unit cell a=4.775 b=4.775 c=4.775 alpha=90.00 beta=90.00 gamma=90.00
Space group Pm-3m (No. 221)
Unique sites:
Tl  0.000  0.000  0.000 [1 per cell]
Co  0.000  0.000  0.500 [3 per cell]
Sb  0.500  0.500  0.500 [1 per cell]

Formation energy without anion corrections (eV per atom): 1.50
Crystal system: cubic
Relative energy among the computed polymorphs (meV per atom): 488


Computed, not measured: Tl2CoSb after structural relaxation at the PBE level of DFT.

Unit cell a=4.200 b=4.200 c=21.514 alpha=90.00 beta=90.00 gamma=90.00
Space group I-42d (No. 122)
Unique sites:
Tl  0.238  0.250  0.125 [8 per cell]
Co  0.000  0.000  0.000 [4 per cell]
Sb  0.000  0.000  0.500 [4 per cell]

Formation energy without anion corrections (eV per atom): 0.61
Crystal system: tetragonal
Relative energy among the computed polymorphs (meV per atom): 454


Computed, not measured: TlCo4Sb after structural relaxation at the PBE level of DFT.

Unit cell a=7.109 b=7.109 c=7.109 alpha=90.00 beta=90.00 gamma=90.00
Space group F-43m (No. 216)
Unique sites:
Tl  0.000  0.000  0.000 [4 per cell]
Co  0.125  0.125  0.625 [16 per cell]
Sb  0.250  0.250  0.250 [4 per cell]

Formation energy without anion corrections (eV per atom): 0.40
Crystal system: cubic


Computed, not measured: Tl2CoSb after structural relaxation at the PBE level of DFT.

Unit cell a=6.156 b=9.547 c=3.335 alpha=90.00 beta=90.00 gamma=90.00
Space group Cmmm (No. 65)
Unique sites:
Tl  0.250  0.250  0.000 [4 per cell]
Co  0.000  0.000  0.500 [2 per cell]
Sb  0.000  0.500  0.500 [2 per cell]

Formation energy without anion corrections (eV per atom): 0.61
Crystal system: orthorhombic
Relative energy among the computed polymorphs (meV per atom): 458


Q: What is the formula in the twelfth record?
A: Tl2CoSb